Entry 1:
DFT (PBE-GGA) results for a relaxed K4Ca crystal.

Lattice parameters (Å, degrees): 8.188 8.188 8.188 109.47 109.47 109.47
Fractional coordinates of all 5 atoms:
1 K 0.500 0.000 0.000
2 K 0.000 0.500 0.000
3 K 0.000 0.000 0.500
4 K 0.500 0.500 0.500
5 Ca 0.000 0.000 0.000

=====

Entry 2:
DFT (PBE-GGA) results for a relaxed NdSmPuIn crystal.

Lattice parameters (Å, degrees): 5.503 5.503 5.503 60.00 60.00 60.00
Site moments in Bohr magnetons follow the coordinates.
Fractional coordinates of all 4 atoms:
1 Pu 0.250 0.250 0.250  5.68
2 Nd 0.000 0.000 0.000  0.18
3 Sm 0.500 0.500 0.500  0.19
4 In 0.750 0.750 0.750  -0.06

=====

Entry 3:
DFT (PBE-GGA) results for a relaxed HgC3 crystal.

Lattice parameters (Å, degrees): 4.142 4.142 3.428 90.00 90.00 95.49
Fractional coordinates of all 4 atoms:
1 C 0.500 0.500 0.000
2 C 0.735 0.735 0.000
3 C 0.265 0.265 0.000
4 Hg 0.000 0.000 0.500

=====

Entry 4:
DFT (PBE-GGA) results for a relaxed Hf4TiFe5 crystal.

Lattice parameters (Å, degrees): 3.102 3.102 15.495 90.00 90.00 90.00
Site moments in Bohr magnetons follow the coordinates.
Fractional coordinates of all 10 atoms:
1 Fe 0.500 0.500 0.908  0.28
2 Fe 0.500 0.500 0.297  0.05
3 Fe 0.500 0.500 0.500  0.14
4 Fe 0.500 0.500 0.703  0.05
5 Fe 0.500 0.500 0.092  0.28
6 Hf 0.000 0.000 0.602  -0.04
7 Hf 0.000 0.000 0.805  -0.06
8 Hf 0.000 0.000 0.398  -0.04
9 Hf 0.000 0.000 0.195  -0.06
10 Ti 0.000 0.000 0.000  -0.14

=====

Entry 5:
DFT (PBE-GGA) results for a relaxed CuSn6Rh12 crystal.

Lattice parameters (Å, degrees): 7.284 7.284 7.284 106.88 106.88 106.88
Fractional coordinates of all 19 atoms:
1 Sn 0.456 0.209 0.092
2 Sn 0.209 0.092 0.456
3 Sn 0.791 0.908 0.544
4 Sn 0.092 0.456 0.209
5 Sn 0.908 0.544 0.791
6 Sn 0.544 0.791 0.908
7 Rh 0.843 0.122 0.275
8 Rh 0.122 0.275 0.843
9 Rh 0.607 0.183 0.491
10 Rh 0.509 0.393 0.817
11 Rh 0.878 0.725 0.157
12 Rh 0.157 0.878 0.725
13 Rh 0.183 0.491 0.607
14 Rh 0.817 0.509 0.393
15 Rh 0.725 0.157 0.878
16 Rh 0.393 0.817 0.509
17 Rh 0.275 0.843 0.122
18 Rh 0.491 0.607 0.183
19 Cu 0.000 0.000 0.000

=====

Entry 6:
DFT (PBE-GGA) results for a relaxed Mg2CdPb2 crystal.

Lattice parameters (Å, degrees): 4.766 4.766 7.317 71.00 71.00 90.00
Fractional coordinates of all 5 atoms:
1 Cd 0.000 0.000 0.000
2 Mg 0.250 0.750 0.500
3 Mg 0.750 0.250 0.500
4 Pb 0.613 0.613 0.774
5 Pb 0.387 0.387 0.226

=====

Number 1: formation enthalpy at 0 K 0.275 eV per atom. Number 2: formation enthalpy at 0 K -0.062 eV per atom. Number 3: formation enthalpy at 0 K 1.585 eV per atom. Number 4: formation enthalpy at 0 K -0.322 eV per atom. Number 5: formation enthalpy at 0 K -0.209 eV per atom. Number 6: formation enthalpy at 0 K 0.161 eV per atom.